Record 1
A plane-wave DFT calculation with PBE was carried out for BeCr2Pt after structural relaxation.

## Properties
Its total energy is -29.09 eV/cell. The formation enthalpy at 0 K is -0.02 eV per atom.

```
4
Lattice="2.604 0.000 0.000 0.000 2.604 0.000 0.000 0.000 6.938" Properties=species:S:1:pos:R:3 pbc="T T T"
Be 0.000 0.000 0.000
Cr 1.302 1.302 1.498
Cr 1.302 1.302 5.440
Pt 0.000 0.000 3.469
```

Record 2
A plane-wave DFT calculation with PBE was carried out for K2ScPt after structural relaxation.

## Properties
The calculation puts the energy above the lowest structure with this stoichiometry at 0.569 eV per atom. Its total energy is -13.35 eV/cell. The formation enthalpy at 0 K is 0.30 eV per atom.

```
4
Lattice="-2.656 2.656 3.751 2.656 -2.656 3.751 2.656 2.656 -3.751" Properties=species:S:1:pos:R:3 pbc="T T T"
K 0.000 0.000 0.000
K 0.000 2.656 1.876
Sc 2.656 0.000 1.876
Pt 0.000 0.000 3.751
```

Record 3
A plane-wave DFT calculation with PBE was carried out for GeMo2HOs after structural relaxation.

## Properties
Its total energy is -35.77 eV/cell.

```
5
Lattice="4.864 0.000 0.000 0.000 4.864 0.000 0.000 0.000 3.004" Properties=species:S:1:pos:R:3 pbc="T T T"
Ge 0.000 0.000 0.000
Mo 0.000 2.432 0.000
Mo 2.432 0.000 0.000
H 0.000 0.000 1.502
Os 2.432 2.432 1.502
```

Record 4
A plane-wave DFT calculation with PBE was carried out for Tl8HgPt2 after structural relaxation.

## Properties
Its total energy is -31.02 eV/cell. The formation enthalpy at 0 K is 0.03 eV per atom.

```
11
Lattice="6.328 -4.428 0.000 6.328 4.428 0.000 -0.629 0.000 5.719" Properties=species:S:1:pos:R:3 pbc="T T T"
Tl 4.540 2.568 1.175
Tl 0.935 0.000 1.582
Tl 3.862 0.000 3.230
Tl 7.488 2.568 4.545
Tl 4.540 -2.568 1.175
Tl 8.165 0.000 2.490
Tl 11.093 0.000 4.138
Tl 7.488 -2.568 4.545
Hg 6.328 0.000 0.000
Pt 3.540 0.000 0.294
Pt 8.488 0.000 5.425
```

Record 5
A plane-wave DFT calculation with PBE was carried out for Sm5TmSi4 after structural relaxation.

## Properties
Its total energy is -54.80 eV/cell. As for the formation energy (no corrections): -48.6 kJ per mole of atoms.

```
10
Lattice="7.708 -2.491 0.000 7.708 2.491 0.000 -0.086 0.000 6.876" Properties=species:S:1:pos:R:3 pbc="T T T"
Sm 0.000 0.000 0.000
Sm 5.112 0.000 3.388
Sm 5.177 0.000 0.012
Sm 10.153 0.000 6.864
Sm 10.219 0.000 3.488
Tm -0.043 0.000 3.438
Si 2.638 0.000 5.151
Si 7.519 0.000 5.088
Si 7.812 0.000 1.788
Si 12.693 0.000 1.725
```

Record 6
A plane-wave DFT calculation with PBE was carried out for CaBe2Ru after structural relaxation.

## Properties
The calculation puts the energy above the lowest structure with this stoichiometry at 0.417 eV per atom. Its total energy is -17.59 eV/cell. The formation enthalpy at 0 K is 0.28 eV per atom.

```
4
Lattice="-2.023 2.023 3.452 2.023 -2.023 3.452 2.023 2.023 -3.452" Properties=species:S:1:pos:R:3 pbc="T T T"
Ca 0.000 0.000 0.000
Be 2.023 0.000 1.726
Be 0.000 2.023 1.726
Ru 0.000 0.000 3.452
```